First-principles (PBE) data for an optimized crystal structure of BeIN3, as listed in the Alexandria database.

Results
The value obtained for the uncorrected energy is -17.81 eV for the cell shown. As for the spin magnetization: 0.000 μB/atom. The density of states at the Fermi level is 2.0 states/eV/cell.

Unit cell a=3.9012 b=3.9012 c=3.9012 alpha=90.00 beta=90.00 gamma=90.00
Element x y z (fractional)
N 0.0000 0.5000 0.0000
N 0.0000 0.0000 0.5000
Be 0.5000 0.5000 0.5000
I 0.0000 0.0000 0.0000
N 0.5000 0.0000 0.0000



First-principles (PBE) data for an optimized crystal structure of Be3IN, as listed in the Alexandria database.

Results
As for the spin magnetization: 0.000 μB/atom. The energy relative to the lowest polymorph listed for this composition comes out at 0.00 eV per formula unit. The density of states at the Fermi level is 2.0 states/eV/cell.

Unit cell a=3.8786 b=3.8786 c=3.8786 alpha=90.00 beta=90.00 gamma=90.00
Element x y z (fractional)
N 0.0000 0.0000 0.0000
Be 0.0000 0.5000 0.0000
Be 0.5000 0.0000 0.0000
Be 0.0000 0.0000 0.5000
I 0.5000 0.5000 0.5000



First-principles (PBE) data for an optimized crystal structure of BeIN3, as listed in the Alexandria database.

Results
The value obtained for the uncorrected energy is -21.12 eV for the cell shown. As for the spin magnetization: 0.000 μB/atom. The density of states at the Fermi level is 2.7 states/eV/cell.

Unit cell a=3.6365 b=3.6365 c=3.6365 alpha=90.00 beta=90.00 gamma=90.00
Element x y z (fractional)
I 0.5000 0.5000 0.5000
N 0.0000 0.0000 0.5000
N 0.5000 0.0000 0.0000
N 0.0000 0.5000 0.0000
Be 0.0000 0.0000 0.0000



- What is the formula in the third record?
  BeIN3



What did the first record say?
First-principles (PBE) data for an optimized crystal structure of BeIN3, as listed in the Alexandria database.

Results
The value obtained for the uncorrected energy is -17.81 eV for the cell shown. As for the spin magnetization: 0.000 μB/atom. The density of states at the Fermi level is 2.0 states/eV/cell.

Unit cell a=3.9012 b=3.9012 c=3.9012 alpha=90.00 beta=90.00 gamma=90.00
Element x y z (fractional)
N 0.0000 0.5000 0.0000
N 0.0000 0.0000 0.5000
Be 0.5000 0.5000 0.5000
I 0.0000 0.0000 0.0000
N 0.5000 0.0000 0.0000